No. 1
The following is a DFT calculation (PBE-GGA) of Tb3Tm3Mg after structural relaxation.

Values from the calculation:
space group: No. 176

Unit cell a=5.593 b=9.326 c=9.327 alpha=120.02 beta=90.00 gamma=90.00
Fractional coordinates of all 14 atoms:
Tb  0.750  0.757  0.814
Tb  0.750  0.058  0.243
Tb  0.750  0.186  0.943
Tb  0.250  0.243  0.186
Tb  0.250  0.942  0.757
Tb  0.250  0.814  0.057
Tm  0.250  0.521  0.624
Tm  0.250  0.103  0.479
Tm  0.250  0.376  0.897
Tm  0.750  0.479  0.376
Tm  0.750  0.897  0.521
Tm  0.750  0.624  0.103
Mg  0.750  0.333  0.667
Mg  0.250  0.667  0.333

***

No. 2
The following is a DFT calculation (PBE-GGA) of BeIn2Ni after structural relaxation.

Values from the calculation:
space group: No. 139

Unit cell a=4.715 b=4.715 c=4.715 alpha=126.82 beta=126.85 gamma=78.52
Fractional coordinates of all 4 atoms:
Ni  0.750  0.250  0.500
Be  0.250  0.750  0.500
In  0.000  0.000  0.000
In  0.500  0.500  0.000

***

| no. | ΔH_f (0 K) (kJ per mole of atoms) | distance to the lowest polymorph of the same formula (eV/atom) | total magnetic moment (μB/cell) |
| --- | --- | --- | --- |
| 1 | 2.04 | 0.000 | 0.0 |
| 2 | 28.53 | 0.230 | 0.0 |